1.
ScCr2Si, optimized geometry, DFT GGA-PBE; formation energy without anion corrections = -0.5 eV/f.u.; total magnetization = 0.000 μB/f.u.; theoretical density = 5.06 Mg/m³; space-group type = P4/mmm
1.0
-2.617 -1.105 1.447
-1.158 -0.944 -2.816
2.519 -5.090 0.670
Cr Si Sc
2 1 1
Direct
0.000 0.000 0.935 Cr
0.000 0.000 0.565 Cr
0.500 0.500 0.750 Si
0.500 0.500 0.250 Sc

***

2.
ScCrSi2, optimized geometry, DFT GGA-PBE; formation energy without anion corrections = -0.7 eV/f.u.; total magnetization = 0.002 μB/f.u.; theoretical density = 4.29 Mg/m³; excess energy over the best structure of this formula in the dataset = 211 meV per atom; space-group type = P4mm
1.0
3.202 0.000 0.000
0.000 3.202 0.000
0.000 0.000 5.781
Si Sc Cr
2 1 1
Direct
0.500 0.500 0.268 Si
0.000 0.000 0.039 Si
0.500 0.500 0.740 Sc
0.000 0.000 0.453 Cr

***

3.
ScCr2Si, optimized geometry, DFT GGA-PBE; formation energy without anion corrections = 0.8 eV/f.u.; total magnetization = 0.000 μB/f.u.; theoretical density = 4.99 Mg/m³; space-group type = R3m
1.0
8.293 0.010 0.006
7.785 2.859 0.006
7.785 1.389 2.499
Si Cr Sc
1 2 1
Direct
0.739 0.739 0.739 Si
0.260 0.260 0.260 Cr
0.997 0.997 0.997 Cr
0.504 0.504 0.504 Sc

***

4.
ScCr2Si, optimized geometry, DFT GGA-PBE; formation energy without anion corrections = 0.5 eV/f.u.; total magnetization = 0.004 μB/f.u.; theoretical density = 5.10 Mg/m³; space-group type = P2/m
1.0
-1.691 3.736 1.474
-2.537 -1.216 0.173
0.539 -1.505 4.432
Cr Si Sc
2 1 1
Direct
0.000 0.588 0.489 Cr
0.000 0.912 0.011 Cr
0.500 0.750 0.750 Si
0.500 0.250 0.250 Sc

***

5.
ScCr2Si, optimized geometry, DFT GGA-PBE; formation energy without anion corrections = -0.6 eV/f.u.; total magnetization = 0.285 μB/f.u.; theoretical density = 5.13 Mg/m³; space-group type = P4mm
1.0
-2.829 0.241 -0.861
-0.440 -2.863 0.642
-1.707 1.621 6.063
Cr Sc Si
2 1 1
Direct
0.500 0.500 0.194 Cr
0.000 0.000 0.008 Cr
0.000 0.000 0.498 Sc
0.500 0.500 0.800 Si

***

6.
ScCrSi2, optimized geometry, DFT GGA-PBE; formation energy without anion corrections = 0.5 eV/f.u.; total magnetization = 3.006 μB/f.u.; theoretical density = 4.07 Mg/m³; excess energy over the best structure of this formula in the dataset = 509 meV per atom; space-group type = F-43m
1.0
4.455 0.000 0.000
2.227 3.858 0.000
2.227 1.286 3.637
Si Sc Cr
2 1 1
Direct
0.000 0.000 0.000 Si
0.250 0.250 0.250 Si
0.750 0.750 0.750 Sc
0.500 0.500 0.500 Cr

***

7.
ScCrSi2, optimized geometry, DFT GGA-PBE; formation energy without anion corrections = -0.9 eV/f.u.; total magnetization = 2.731 μB/f.u.; theoretical density = 4.23 Mg/m³; excess energy over the best structure of this formula in the dataset = 170 meV per atom; space-group type = P4/mmm
1.0
-2.284 -0.258 3.197
-2.767 -1.831 -2.124
1.599 -3.422 0.867
Si Sc Cr
2 1 1
Direct
0.000 0.000 0.000 Si
0.500 0.500 0.000 Si
0.000 0.500 0.500 Sc
0.500 0.000 0.500 Cr

***

8.
Sc2Cr2Si, optimized geometry, DFT GGA-PBE; formation energy without anion corrections = -0.4 eV/f.u.; total magnetization = 0.000 μB/f.u.; theoretical density = 4.45 Mg/m³; space-group type = P4/mbm
1.0
6.292 0.000 0.000
0.000 6.292 0.000
0.000 0.000 4.187
Sc Cr Si
4 4 2
Direct
0.322 0.178 0.500 Sc
0.678 0.822 0.500 Sc
0.178 0.678 0.500 Sc
0.822 0.322 0.500 Sc
0.116 0.384 0.000 Cr
0.384 0.884 0.000 Cr
0.616 0.116 0.000 Cr
0.884 0.616 0.000 Cr
0.000 0.000 0.000 Si
0.500 0.500 0.000 Si

***

Number 1: D(E_F) 3.29 states/eV per cell. Number 2: D(E_F) 3.36 states/eV per cell. Number 3: D(E_F) 4.16 states/eV per cell. Number 4: D(E_F) 4.00 states/eV per cell. Number 5: D(E_F) 4.22 states/eV per cell. Number 6: D(E_F) 2.24 states/eV per cell. Number 7: D(E_F) 3.08 states/eV per cell. Number 8: D(E_F) 5.81 states/eV per cell.